{"formula": "Tc3C", "functional": "GGA-PBEsol", "state": "optimized geometry", "energy_ev_per_atom": -10.8757, "dos_ef_per_ev_atom": 0.68, "volume_a3_per_cell": 187, "relative_energy_ev_per_atom": 0.048, "cell": [[4.773, 0.000, 0.000], [0.000, 5.243, 0.000], [0.000, 0.000, 7.475]], "species": ["C", "C", "C", "C", "Tc", "Tc", "Tc", "Tc", "Tc", "Tc", "Tc", "Tc", "Tc", "Tc", "Tc", "Tc"], "fractional_positions": [[0.576, 0.885, 0.750], [0.076, 0.615, 0.250], [0.924, 0.385, 0.750], [0.424, 0.115, 0.250], [0.170, 0.036, 0.750], [0.670, 0.464, 0.250], [0.330, 0.536, 0.750], [0.830, 0.964, 0.250], [0.665, 0.188, 0.929], [0.165, 0.312, 0.071], [0.835, 0.688, 0.571], [0.335, 0.812, 0.429], [0.335, 0.812, 0.071], [0.835, 0.688, 0.929], [0.165, 0.312, 0.429], [0.665, 0.188, 0.571]]}

{"formula": "TcC", "functional": "GGA-PBEsol", "state": "optimized geometry", "energy_ev_per_atom": -10.1539, "dos_ef_per_ev_atom": 0.46, "volume_a3_per_cell": 59, "relative_energy_ev_per_atom": 0.072, "cell": [[-1.050, 2.571, -0.480], [-2.255, 0.050, -3.077], [-5.901, -0.498, 1.965]], "species": ["C", "C", "C", "Tc", "Tc", "Tc"], "fractional_positions": [[0.902, 0.201, 0.995], [0.707, 0.898, 0.688], [0.633, 0.395, 0.338], [0.374, 0.988, 0.265], [0.016, 0.357, 0.611], [0.202, 0.660, 0.936]]}

{"formula": "TcC", "functional": "GGA-PBEsol", "state": "optimized geometry", "energy_ev_per_atom": -9.9573, "dos_ef_per_ev_atom": 0.59, "volume_a3_per_cell": 19, "relative_energy_ev_per_atom": 0.268, "cell": [[-0.713, -1.235, 2.484], [2.045, -0.936, 1.773], [0.497, 1.717, 2.647]], "species": ["C", "Tc"], "fractional_positions": [[0.000, 0.000, 0.000], [0.500, 0.500, 0.500]]}

{"formula": "TcC", "functional": "GGA-PBEsol", "state": "optimized geometry", "energy_ev_per_atom": -8.5163, "dos_ef_per_ev_atom": 0.62, "volume_a3_per_cell": 42, "relative_energy_ev_per_atom": 1.709, "cell": [[-0.282, 2.245, 3.193], [-3.518, 0.858, 1.484], [-1.124, -1.571, 3.403]], "species": ["C", "C", "Tc", "Tc"], "fractional_positions": [[0.500, 0.500, 0.500], [0.750, 0.750, 0.750], [0.000, 0.000, 0.000], [0.250, 0.250, 0.250]]}

{"formula": "TcC3", "functional": "GGA-PBEsol", "state": "optimized geometry", "energy_ev_per_atom": -8.8496, "dos_ef_per_ev_atom": 0.61, "volume_a3_per_cell": 41, "relative_energy_ev_per_atom": 0.180, "cell": [[-1.304, 0.951, -2.090], [1.850, -1.616, -1.889], [-3.145, -3.848, 0.212]], "species": ["C", "C", "C", "Tc"], "fractional_positions": [[0.000, 0.500, 0.000], [0.500, 0.500, 0.000], [0.500, 0.000, 0.500], [0.000, 0.500, 0.500]]}

{"formula": "Tc3C5", "functional": "GGA-PBEsol", "state": "optimized geometry", "energy_ev_per_atom": -9.1683, "dos_ef_per_ev_atom": 0.33, "volume_a3_per_cell": 68, "cell": [[-1.258, 0.167, 2.397], [-2.095, -1.402, -1.001], [4.011, -7.892, 2.656]], "species": ["C", "C", "C", "C", "C", "Tc", "Tc", "Tc"], "fractional_positions": [[0.000, 0.000, 0.000], [0.000, 0.000, 0.256], [0.000, 0.000, 0.744], [0.500, 0.500, 0.380], [0.500, 0.500, 0.620], [0.000, 0.000, 0.500], [0.500, 0.500, 0.153], [0.500, 0.500, 0.847]]}

{"formula": "TcTeC3", "functional": "GGA-PBEsol", "state": "optimized geometry", "energy_ev_per_atom": -5.5378, "dos_ef_per_ev_atom": 0.63, "formation_energy_uncorrected_ev_per_atom": 3.21, "volume_a3_per_cell": 67, "cell": [[4.071, 0.000, 0.000], [0.000, 4.071, 0.000], [0.000, 0.000, 4.071]], "species": ["C", "C", "C", "Te", "Tc"], "fractional_positions": [[0.000, 0.500, 0.000], [0.000, 0.000, 0.500], [0.500, 0.000, 0.000], [0.000, 0.000, 0.000], [0.500, 0.500, 0.500]]}

{"formula": "TcTe2C", "functional": "GGA-PBEsol", "state": "optimized geometry", "energy_ev_per_atom": -5.4222, "dos_ef_per_ev_atom": 0.78, "formation_energy_uncorrected_ev_per_atom": 1.57, "volume_a3_per_cell": 73, "cell": [[3.243, 0.000, 0.000], [1.621, 2.808, 0.000], [1.621, 0.936, 8.034]], "species": ["C", "Te", "Te", "Tc"], "fractional_positions": [[0.500, 0.500, 0.500], [0.897, 0.897, 0.310], [0.103, 0.103, 0.690], [0.000, 0.000, 0.000]]}

{"formula": "TlTcC3", "functional": "GGA-PBEsol", "state": "optimized geometry", "energy_ev_per_atom": -4.6977, "dos_ef_per_ev_atom": 0.71, "volume_a3_per_cell": 75, "cell": [[-2.640, -3.016, 1.332], [2.846, -1.223, 2.872], [-1.665, 2.692, 2.797]], "species": ["C", "C", "C", "Tl", "Tc"], "fractional_positions": [[0.000, 0.500, 0.000], [0.000, 0.000, 0.500], [0.500, 0.000, 0.000], [0.000, 0.000, 0.000], [0.500, 0.500, 0.500]]}

{"formula": "UTcC2", "functional": "GGA-PBEsol", "state": "optimized geometry", "energy_ev_per_atom": -10.9176, "dos_ef_per_ev_atom": 1.01, "volume_a3_per_cell": 189, "cell": [[3.112, 0.000, 0.000], [0.000, 5.539, 0.000], [0.000, 0.000, 10.945]], "species": ["U", "U", "U", "U", "Tc", "Tc", "Tc", "Tc", "C", "C", "C", "C", "C", "C", "C", "C"], "fractional_positions": [[0.750, 0.417, 0.642], [0.750, 0.917, 0.858], [0.250, 0.583, 0.358], [0.250, 0.083, 0.142], [0.750, 0.081, 0.397], [0.750, 0.581, 0.103], [0.250, 0.919, 0.603], [0.250, 0.419, 0.897], [0.750, 0.337, 0.255], [0.750, 0.837, 0.245], [0.250, 0.663, 0.745], [0.250, 0.163, 0.755], [0.750, 0.757, 0.507], [0.750, 0.257, 0.993], [0.250, 0.243, 0.493], [0.250, 0.743, 0.007]]}

{"formula": "TcW3C", "functional": "GGA-PBEsol", "state": "optimized geometry", "energy_ev_per_atom": -12.2683, "dos_ef_per_ev_atom": 0.79, "volume_a3_per_cell": 69, "cell": [[-3.385, -1.802, -1.448], [2.263, -2.058, -2.729], [0.473, -3.053, 2.694]], "species": ["C", "Tc", "W", "W", "W"], "fractional_positions": [[0.000, 0.000, 0.000], [0.500, 0.500, 0.500], [0.000, 0.500, 0.000], [0.000, 0.000, 0.500], [0.500, 0.000, 0.000]]}

{"formula": "Y3TcC", "functional": "GGA-PBEsol", "state": "optimized geometry", "energy_ev_per_atom": -6.9476, "dos_ef_per_ev_atom": 0.64, "volume_a3_per_cell": 133, "cell": [[-3.455, -1.322, -3.519], [-0.421, -4.613, 2.146], [-3.735, 1.742, 3.013]], "species": ["Y", "Y", "Y", "C", "Tc"], "fractional_positions": [[0.000, 0.500, 0.000], [0.000, 0.000, 0.500], [0.500, 0.000, 0.000], [0.500, 0.500, 0.500], [0.000, 0.000, 0.000]]}

{"formula": "Te2C", "functional": "GGA-PBEsol", "state": "optimized geometry", "energy_ev_per_atom": -4.3999, "dos_ef_per_ev_atom": 0.42, "formation_energy_uncorrected_ev_per_atom": 1.17, "volume_a3_per_cell": 123, "relative_energy_ev_per_atom": 0.000, "cell": [[4.671, 0.000, 0.000], [0.000, 4.671, 0.000], [0.000, 0.000, 5.634]], "species": ["C", "C", "Te", "Te", "Te", "Te"], "fractional_positions": [[0.500, 0.000, 0.886], [0.000, 0.500, 0.114], [0.000, 0.000, 0.000], [0.500, 0.500, 0.000], [0.500, 0.000, 0.496], [0.000, 0.500, 0.504]]}

{"formula": "TeC", "functional": "GGA-PBEsol", "state": "optimized geometry", "energy_ev_per_atom": -4.8578, "dos_ef_per_ev_atom": 0.67, "formation_energy_uncorrected_ev_per_atom": 1.73, "volume_a3_per_cell": 71, "relative_energy_ev_per_atom": 0.256, "cell": [[5.602, 1.230, 0.903], [3.507, 4.538, 0.903], [3.507, 2.221, 4.059]], "species": ["C", "C", "Te", "Te"], "fractional_positions": [[0.887, 0.887, 0.887], [0.113, 0.113, 0.113], [0.751, 0.751, 0.751], [0.249, 0.249, 0.249]]}

{"formula": "TeC", "functional": "GGA-PBEsol", "state": "optimized geometry", "energy_ev_per_atom": -4.3124, "dos_ef_per_ev_atom": 0.71, "formation_energy_uncorrected_ev_per_atom": 2.27, "volume_a3_per_cell": 103, "relative_energy_ev_per_atom": 0.802, "cell": [[-3.650, 0.820, -2.828], [-0.444, -4.606, -0.762], [-2.911, -0.326, 3.663]], "species": ["C", "C", "C", "Te", "Te", "Te"], "fractional_positions": [[0.500, 0.000, 0.500], [0.500, 0.500, 0.000], [0.000, 0.500, 0.500], [0.000, 0.500, 0.000], [0.000, 0.000, 0.500], [0.500, 0.000, 0.000]]}

{"formula": "Te3C4", "functional": "GGA-PBEsol", "state": "optimized geometry", "energy_ev_per_atom": -4.7310, "dos_ef_per_ev_atom": 0.53, "formation_energy_uncorrected_ev_per_atom": 2.29, "volume_a3_per_cell": 122, "relative_energy_ev_per_atom": 0.489, "cell": [[-1.963, 3.351, -3.088], [-4.392, -2.286, 0.311], [-1.213, 2.857, 3.871]], "species": ["C", "C", "C", "C", "Te", "Te", "Te"], "fractional_positions": [[0.225, 0.775, 0.225], [0.775, 0.225, 0.225], [0.775, 0.775, 0.775], [0.225, 0.225, 0.775], [0.500, 0.000, 0.500], [0.500, 0.500, 0.000], [0.000, 0.500, 0.500]]}

{"formula": "Te2C", "functional": "GGA-PBEsol", "state": "optimized geometry", "energy_ev_per_atom": -4.2928, "dos_ef_per_ev_atom": 0.49, "formation_energy_uncorrected_ev_per_atom": 1.27, "volume_a3_per_cell": 126, "relative_energy_ev_per_atom": 0.107, "cell": [[3.308, 0.000, 0.000], [-1.654, 2.865, 0.000], [0.000, 0.000, 13.293]], "species": ["C", "C", "Te", "Te", "Te", "Te"], "fractional_positions": [[0.000, 0.000, 0.000], [0.000, 0.000, 0.500], [0.667, 0.333, 0.884], [0.333, 0.667, 0.384], [0.667, 0.333, 0.616], [0.333, 0.667, 0.116]]}

{"formula": "TeC", "functional": "GGA-PBEsol", "state": "optimized geometry", "energy_ev_per_atom": -4.6374, "dos_ef_per_ev_atom": 0.67, "formation_energy_uncorrected_ev_per_atom": 1.95, "volume_a3_per_cell": 40, "relative_energy_ev_per_atom": 0.477, "cell": [[3.826, 0.000, 0.000], [1.913, 3.313, 0.000], [1.913, 1.104, 3.124]], "species": ["C", "Te"], "fractional_positions": [[0.000, 0.000, 0.000], [0.250, 0.250, 0.250]]}

{"formula": "TeC", "functional": "GGA-PBEsol", "state": "optimized geometry", "energy_ev_per_atom": -4.8313, "dos_ef_per_ev_atom": 0.44, "formation_energy_uncorrected_ev_per_atom": 1.75, "volume_a3_per_cell": 120, "relative_energy_ev_per_atom": 0.283, "cell": [[3.310, 0.000, 0.000], [-1.655, 4.960, -0.037], [0.000, -2.180, 7.318]], "species": ["C", "C", "C", "Te", "Te", "Te"], "fractional_positions": [[0.055, 0.109, 0.071], [0.404, 0.809, 0.740], [0.354, 0.707, 0.178], [0.586, 0.173, 0.259], [0.948, 0.895, 0.599], [0.820, 0.640, 0.987]]}

{"formula": "Te8C", "functional": "GGA-PBEsol", "state": "optimized geometry", "energy_ev_per_atom": -3.4326, "dos_ef_per_ev_atom": 0.74, "formation_energy_uncorrected_ev_per_atom": 0.77, "volume_a3_per_cell": 234, "cell": [[-2.768, -1.861, -1.374], [-3.954, -2.601, 6.752], [-5.858, 5.756, -0.732]], "species": ["C", "Te", "Te", "Te", "Te", "Te", "Te", "Te", "Te"], "fractional_positions": [[0.000, 0.000, 0.000], [0.369, 0.000, 0.263], [0.631, 0.000, 0.737], [0.670, 0.330, 0.330], [0.369, 0.263, 0.000], [0.000, 0.330, 0.670], [0.631, 0.737, 0.000], [0.330, 0.670, 0.670], [0.000, 0.670, 0.330]]}